Record 1
# BaCu6Sb4 PBE optimized geometry
data_BaCu6Sb4
_symmetry_space_group_name_H-M 'I -4 2 m'
_symmetry_Int_Tables_number 121
_symmetry_space_group_name_Hall 'I -4 2'
_cell_length_a 6.958
_cell_length_b 6.958
_cell_length_c 9.490
_cell_angle_alpha 90.00
_cell_angle_beta 90.00
_cell_angle_gamma 90.00
loop_
_atom_site_label
_atom_site_fract_x
_atom_site_fract_y
_atom_site_fract_z
_atom_site_occupancy
Ba1 0.000 0.000 0.000 1
Cu1 0.000 0.500 0.000 1
Cu2 0.153 0.153 0.416 1
Sb1 0.205 0.205 0.685 1
# Formation energy from raw total energies   -0.026 eV/atom
# Total energy   -3.934 eV/atom

Record 2
# Cs2PdSeCl6 PBE optimized geometry
data_Cs2PdSeCl6
_symmetry_space_group_name_H-M 'I 4/m m m'
_symmetry_Int_Tables_number 139
_symmetry_space_group_name_Hall '-I 4 2'
_cell_length_a 7.187
_cell_length_b 7.187
_cell_length_c 11.380
_cell_angle_alpha 90.00
_cell_angle_beta 90.00
_cell_angle_gamma 90.00
loop_
_atom_site_label
_atom_site_fract_x
_atom_site_fract_y
_atom_site_fract_z
_atom_site_occupancy
Cs1 0.000 0.500 0.250 1
Pd1 0.000 0.000 0.000 1
Se1 0.000 0.000 0.500 1
Cl1 0.000 0.000 0.208 1
Cl2 0.246 0.246 0.500 1
# Formation energy from raw total energies   -1.009 eV/atom
# Total energy   -3.155 eV/atom

Record 3
# Sr2TlSbSe5 PBE optimized geometry
data_Sr2TlSbSe5
_symmetry_space_group_name_H-M 'C m c 21'
_symmetry_Int_Tables_number 36
_cell_length_a 4.267
_cell_length_b 18.772
_cell_length_c 12.988
_cell_angle_alpha 90.00
_cell_angle_beta 90.00
_cell_angle_gamma 90.00
loop_
_symmetry_equiv_pos_as_xyz
'x,y,z'
'-x,-y,z+1/2'
'-x,y,z'
'x,-y,z+1/2'
'x+1/2,y+1/2,z'
'-x+1/2,-y+1/2,z+1/2'
'-x+1/2,y+1/2,z'
'x+1/2,-y+1/2,z+1/2'
loop_
_atom_site_label
_atom_site_fract_x
_atom_site_fract_y
_atom_site_fract_z
_atom_site_occupancy
Sr1 0.000 0.113 0.000 1
Sr2 0.000 0.130 0.627 1
Tl1 0.000 0.443 0.768 1
Sb1 0.000 0.218 0.337 1
Se1 0.000 0.047 0.393 1
Se2 0.000 0.280 0.986 1
Se3 0.000 0.306 0.677 1
Se4 0.000 0.359 0.316 1
Se5 0.000 0.495 0.085 1
# Formation energy from raw total energies   -1.033 eV/atom
# Total energy   -4.064 eV/atom

Record 4
# Pr2ScAg3 PBE optimized geometry
data_Pr2ScAg3
_symmetry_space_group_name_H-M 'P 4/m m m'
_symmetry_Int_Tables_number 123
_symmetry_space_group_name_Hall '-P 4 2'
_cell_length_a 3.613
_cell_length_b 3.613
_cell_length_c 11.309
_cell_angle_alpha 90.00
_cell_angle_beta 90.00
_cell_angle_gamma 90.00
loop_
_atom_site_label
_atom_site_fract_x
_atom_site_fract_y
_atom_site_fract_z
_atom_site_occupancy
Pr1 0.000 0.000 0.178 1
Sc1 0.000 0.000 0.500 1
Ag1 0.500 0.500 0.000 1
Ag2 0.500 0.500 0.363 1
# Formation enthalpy at 0 K   -1.44 eV per formula unit
# Total energy   -4.315 eV/atom

| no. | total magnetic moment (μB/atom) |
| --- | --- |
| 1 | 0.00 |
| 2 | 0.00 |
| 3 | 0.00 |
| 4 | 0.00 |